(1)
# LaAu2Br

LaAu2Br after structural relaxation (GGA-PBE, Alexandria).

The density of states at the Fermi level is 0.61 states/eV/f.u. As for the distance to the lowest polymorph of the same formula: 0.084 eV per atom. The raw formation energy is -835.0 meV per atom. The value obtained for the total magnetic moment is 0.00 μB per cell.

The structure belongs to space group I-4m2 (No. 119); the cell edges are 5.155, 5.155 and 7.310 Å and the angles 90.00°, 90.00° and 90.00°. The distinct sites, in fractional coordinates, are La at (0.000, 0.000, 0.000), Au at (0.000, 0.000, 0.500), Au at (0.000, 0.500, 0.750) and Br at (0.000, 0.500, 0.250).

***

(2)
# La2AuBr2

La2AuBr2 after structural relaxation (GGA-PBE, Alexandria).

The density of states at the Fermi level is 3.93 states/eV/f.u. The raw formation energy is -1372.7 meV per atom. The value obtained for the total magnetic moment is 1.97 μB per cell.

The structure belongs to space group R-3m (No. 166, hexagonal axes); the cell edges are 4.3052, 4.3052 and 33.0180 Å and the angles 90.00°, 90.00° and 120.00°. The distinct sites, in fractional coordinates, are La at (0.0000, 0.0000, 0.1110), Au at (0.0000, 0.0000, 0.5000) and Br at (0.0000, 0.0000, 0.2792).

***

(3)
# La4AuBr5

La4AuBr5 after structural relaxation (GGA-PBE, Alexandria).

The density of states at the Fermi level is 6.12 states/eV/f.u. As for the distance to the lowest polymorph of the same formula: 0.035 eV per atom. The raw formation energy is -1472.4 meV per atom. The value obtained for the total magnetic moment is 1.77 μB per cell.

The structure belongs to space group C2/m (No. 12); the cell edges are 20.643, 4.181 and 7.909 Å and the angles 90.00°, 100.72° and 90.00°. The distinct sites, in fractional coordinates, are La at (0.063, 0.000, 0.317), La at (0.120, 0.500, 0.794), Au at (0.000, 0.500, 0.500), Br at (0.000, 0.500, 0.000), Br at (0.171, 0.000, 0.080) and Br at (0.186, 0.000, 0.599).

***

(4)
# LaAu2Br

LaAu2Br after structural relaxation (GGA-PBE, Alexandria).

The density of states at the Fermi level is 0.82 states/eV/f.u. As for the distance to the lowest polymorph of the same formula: 0.121 eV per atom. The raw formation energy is -797.7 meV per atom. The value obtained for the total magnetic moment is 0.00 μB per cell.

The structure belongs to space group Pm (No. 6); the cell edges are 3.743, 3.745 and 8.182 Å and the angles 90.00°, 102.25° and 90.00°. The distinct sites, in fractional coordinates, are La at (0.000, 0.000, 0.000), Au at (0.171, 0.000, 0.371), Au at (0.598, 0.500, 0.211) and Br at (0.388, 0.500, 0.761).

***

(5)
# La2AuBr

La2AuBr after structural relaxation (GGA-PBE, Alexandria).

The density of states at the Fermi level is 2.52 states/eV/f.u. As for the distance to the lowest polymorph of the same formula: 0.103 eV per atom. The raw formation energy is -968.0 meV per atom. The value obtained for the total magnetic moment is 0.00 μB per cell.

The structure belongs to space group Amm2 (No. 38); the cell edges are 4.742, 3.948 and 12.235 Å and the angles 90.00°, 90.00° and 90.00°. The distinct sites, in fractional coordinates, are La at (0.000, 0.000, 0.000), La at (0.500, 0.000, 0.249), Au at (0.000, 0.000, 0.742) and Br at (0.500, 0.000, 0.505).

***

(6)
# La2AuBr

La2AuBr after structural relaxation (GGA-PBE, Alexandria).

The density of states at the Fermi level is 2.77 states/eV/f.u. As for the distance to the lowest polymorph of the same formula: 0.213 eV per atom. The raw formation energy is -858.4 meV per atom. The value obtained for the total magnetic moment is 0.00 μB per cell.

The structure belongs to space group Fm-3m (No. 225); the cell edges are 7.586, 7.586 and 7.586 Å and the angles 90.00°, 90.00° and 90.00°. The distinct sites, in fractional coordinates, are La at (0.250, 0.250, 0.250), Au at (0.000, 0.000, 0.000) and Br at (0.000, 0.000, 0.500).

***

(7)
# La4Au2Br

La4Au2Br after structural relaxation (GGA-PBE, Alexandria).

The density of states at the Fermi level is 6.05 states/eV/f.u. The raw formation energy is -824.3 meV per atom. The value obtained for the total magnetic moment is 0.00 μB per cell.

The structure belongs to space group C2/m (No. 12); the cell edges are 13.844, 4.187 and 9.087 Å and the angles 90.00°, 124.70° and 90.00°. The distinct sites, in fractional coordinates, are La at (0.092, 0.000, 0.405), La at (0.181, 0.500, 0.088), Au at (0.117, 0.500, 0.688) and Br at (0.000, 0.000, 0.000).

***

(8)
# LaAu2Br

LaAu2Br after structural relaxation (GGA-PBE, Alexandria).

The density of states at the Fermi level is 0.52 states/eV/f.u. As for the distance to the lowest polymorph of the same formula: 0.225 eV per atom. The raw formation energy is -693.7 meV per atom. The value obtained for the total magnetic moment is 0.00 μB per cell.

The structure belongs to space group P4/mmm (No. 123); the cell edges are 3.998, 3.998 and 6.359 Å and the angles 90.00°, 90.00° and 90.00°. The distinct sites, in fractional coordinates, are La at (0.000, 0.000, 0.000), Au at (0.500, 0.500, 0.249) and Br at (0.000, 0.000, 0.500).

***

(9)
# LaAuBr

LaAuBr after structural relaxation (GGA-PBE, Alexandria).

The density of states at the Fermi level is 3.70 states/eV/f.u. As for the distance to the lowest polymorph of the same formula: 0.545 eV per atom. The raw formation energy is -729.1 meV per atom. The value obtained for the total magnetic moment is 0.02 μB per cell.

The structure belongs to space group F-43m (No. 216); the cell edges are 7.056, 7.056 and 7.056 Å and the angles 90.00°, 90.00° and 90.00°. The distinct sites, in fractional coordinates, are La at (0.000, 0.000, 0.000), Au at (0.000, 0.000, 0.500) and Br at (0.250, 0.250, 0.250).

***

(10)
# LaAuBr

LaAuBr after structural relaxation (GGA-PBE, Alexandria).

The density of states at the Fermi level is 2.94 states/eV/f.u. As for the distance to the lowest polymorph of the same formula: 0.279 eV per atom. The raw formation energy is -994.8 meV per atom. The value obtained for the total magnetic moment is 0.00 μB per cell.

The structure belongs to space group I4mm (No. 107); the cell edges are 3.727, 3.727 and 13.032 Å and the angles 90.00°, 90.00° and 90.00°. The distinct sites, in fractional coordinates, are La at (0.000, 0.000, 0.000), Au at (0.000, 0.000, 0.365) and Br at (0.000, 0.000, 0.637).

***

(11)
# La3AuBr

La3AuBr after structural relaxation (GGA-PBE, Alexandria).

The density of states at the Fermi level is 3.79 states/eV/f.u. As for the distance to the lowest polymorph of the same formula: 0.000 eV per atom. The raw formation energy is -291.0 meV per atom. The value obtained for the total magnetic moment is 0.00 μB per cell.

The structure belongs to space group Pm-3m (No. 221); the cell edges are 5.581, 5.581 and 5.581 Å and the angles 90.00°, 90.00° and 90.00°. The distinct sites, in fractional coordinates, are La at (0.000, 0.000, 0.500), Au at (0.500, 0.500, 0.500) and Br at (0.000, 0.000, 0.000).

***

(12)
# La2AuBr

La2AuBr after structural relaxation (GGA-PBE, Alexandria).

The density of states at the Fermi level is 6.23 states/eV/f.u. As for the distance to the lowest polymorph of the same formula: 0.823 eV per atom. The raw formation energy is -248.5 meV per atom. The value obtained for the total magnetic moment is 0.52 μB per cell.

The structure belongs to space group F-43m (No. 216); the cell edges are 7.558, 7.558 and 7.558 Å and the angles 90.00°, 90.00° and 90.00°. The distinct sites, in fractional coordinates, are La at (0.000, 0.000, 0.000), La at (0.250, 0.250, 0.250), Au at (0.000, 0.000, 0.500) and Br at (0.250, 0.250, 0.750).

***

(13)
# La2AuBr

La2AuBr after structural relaxation (GGA-PBE, Alexandria).

The density of states at the Fermi level is 4.70 states/eV/f.u. As for the distance to the lowest polymorph of the same formula: 0.410 eV per atom. The raw formation energy is -661.6 meV per atom. The value obtained for the total magnetic moment is 0.00 μB per cell.

The structure belongs to space group I-42d (No. 122); the cell edges are 6.585, 6.585 and 14.722 Å and the angles 90.00°, 90.00° and 90.00°. The distinct sites, in fractional coordinates, are La at (0.235, 0.250, 0.125), Au at (0.000, 0.000, 0.000) and Br at (0.000, 0.000, 0.500).